# MnP2Se | the Alexandria database | PBE-GGA | relaxed
data_MnP2Se
_chemical_formula_sum 'Mn4 P8 Se4'
_symmetry_space_group_name_H-M 'I -4 2 d'
_symmetry_Int_Tables_number 122
_symmetry_space_group_name_Hall 'I -4 2bw'
_cell_length_a 5.447
_cell_length_b 5.447
_cell_length_c 10.448
_cell_angle_alpha 90.00
_cell_angle_beta 90.00
_cell_angle_gamma 90.00
loop_
_atom_site_label
_atom_site_fract_x
_atom_site_fract_y
_atom_site_fract_z
Mn1 0.000 0.000 0.000
P1 0.187 0.250 0.125
Se1 0.000 0.000 0.500
# N(E_F)	12.477	states/eV/cell
# formation energy without anion corrections	0.84	eV/f.u.

# ErPuCdIr | the Alexandria database | PBE-GGA | relaxed
data_ErPuCdIr
_chemical_formula_sum 'Er4 Pu4 Cd4 Ir4'
_symmetry_space_group_name_H-M 'F -4 3 m'
_symmetry_Int_Tables_number 216
_symmetry_space_group_name_Hall 'F -4 2 3'
_cell_length_a 7.113
_cell_length_b 7.113
_cell_length_c 7.113
_cell_angle_alpha 90.00
_cell_angle_beta 90.00
_cell_angle_gamma 90.00
loop_
_atom_site_label
_atom_site_fract_x
_atom_site_fract_y
_atom_site_fract_z
Er1 0.000 0.000 0.000
Pu1 0.000 0.000 0.500
Cd1 0.250 0.250 0.750
Ir1 0.250 0.250 0.250
# N(E_F)	32.248	states/eV/cell
# energy of formation	-0.32	eV/atom

# La3W | the Alexandria database | PBE-GGA | relaxed
data_La3W
_chemical_formula_sum 'La12 W4'
_symmetry_space_group_name_H-M 'I 4/m m m'
_symmetry_Int_Tables_number 139
_symmetry_space_group_name_Hall '-I 4 2'
_cell_length_a 4.851
_cell_length_b 4.851
_cell_length_c 18.905
_cell_angle_alpha 90.00
_cell_angle_beta 90.00
_cell_angle_gamma 90.00
loop_
_atom_site_label
_atom_site_fract_x
_atom_site_fract_y
_atom_site_fract_z
La1 0.000 0.000 0.127
La2 0.000 0.500 0.000
La3 0.000 0.500 0.250
W1 0.000 0.000 0.374
# energy relative to the lowest polymorph listed for this composition	170	meV per atom
# N(E_F)	22.253	states/eV/cell
# energy of formation	0.58	eV/atom

Repeat the third record exactly.
# La3W | the Alexandria database | PBE-GGA | relaxed
data_La3W
_chemical_formula_sum 'La12 W4'
_symmetry_space_group_name_H-M 'I 4/m m m'
_symmetry_Int_Tables_number 139
_symmetry_space_group_name_Hall '-I 4 2'
_cell_length_a 4.851
_cell_length_b 4.851
_cell_length_c 18.905
_cell_angle_alpha 90.00
_cell_angle_beta 90.00
_cell_angle_gamma 90.00
loop_
_atom_site_label
_atom_site_fract_x
_atom_site_fract_y
_atom_site_fract_z
La1 0.000 0.000 0.127
La2 0.000 0.500 0.000
La3 0.000 0.500 0.250
W1 0.000 0.000 0.374
# energy relative to the lowest polymorph listed for this composition	170	meV per atom
# N(E_F)	22.253	states/eV/cell
# energy of formation	0.58	eV/atom

The highest N(E_F) belongs to which entry?
ErPuCdIr